Record 1
Material: YSiGe2
Method: DFT, PBE-GGA
State: relaxed

```
data_YSiGe2
_symmetry_space_group_name_H-M 'I -4 2 d'
_symmetry_Int_Tables_number 122
_symmetry_space_group_name_Hall 'I -4 2bw'
_cell_length_a 7.1508
_cell_length_b 7.1508
_cell_length_c 6.7427
_cell_angle_alpha 90.00
_cell_angle_beta 90.00
_cell_angle_gamma 90.00
loop_
_atom_site_label
_atom_site_fract_x
_atom_site_fract_y
_atom_site_fract_z
Y1 0.0000 0.0000 0.0000
Si1 0.0000 0.0000 0.5000
Ge1 0.1933 0.2500 0.6250
```

Summary:
The calculation puts the theoretical density at 5.1 g/cm³. The uncorrected formation energy comes out at -23 kJ/mol of atoms.



Record 2
Material: YZn2SiGe
Method: DFT, PBE-GGA
State: relaxed

```
data_YZn2SiGe
_symmetry_space_group_name_H-M 'P 4/m m m'
_symmetry_Int_Tables_number 123
_symmetry_space_group_name_Hall '-P 4 2'
_cell_length_a 5.3691
_cell_length_b 5.3691
_cell_length_c 5.2911
_cell_angle_alpha 90.00
_cell_angle_beta 90.00
_cell_angle_gamma 90.00
loop_
_atom_site_label
_atom_site_fract_x
_atom_site_fract_y
_atom_site_fract_z
Y1 0.0000 0.0000 0.0000
Zn1 0.0000 0.5000 0.0000
Si1 0.0000 0.0000 0.5000
Ge1 0.5000 0.5000 0.5000
```

Summary:
The calculation puts the theoretical density at 3.5 g/cm³. The uncorrected formation energy comes out at 101 kJ/mol of atoms.



> What is the formula in the second record?

YZn2SiGe



Repeat the first record exactly.
Material: YSiGe2
Method: DFT, PBE-GGA
State: relaxed

```
data_YSiGe2
_symmetry_space_group_name_H-M 'I -4 2 d'
_symmetry_Int_Tables_number 122
_symmetry_space_group_name_Hall 'I -4 2bw'
_cell_length_a 7.1508
_cell_length_b 7.1508
_cell_length_c 6.7427
_cell_angle_alpha 90.00
_cell_angle_beta 90.00
_cell_angle_gamma 90.00
loop_
_atom_site_label
_atom_site_fract_x
_atom_site_fract_y
_atom_site_fract_z
Y1 0.0000 0.0000 0.0000
Si1 0.0000 0.0000 0.5000
Ge1 0.1933 0.2500 0.6250
```

Summary:
The calculation puts the theoretical density at 5.1 g/cm³. The uncorrected formation energy comes out at -23 kJ/mol of atoms.